Model P:
Sm4YHo | PBE | optimized geometry

abc: 3.598 9.533 11.958
angles: 148.71 90.20 100.77
Sites, in units of the cell vectors:
Ho 0.000 0.000 0.000
Sm 0.832 0.664 0.498
Sm 0.665 0.331 0.999
Sm 0.335 0.669 0.001
Y 0.500 0.000 0.500
Sm 0.168 0.336 0.502

Summary:
**SG**: P-1, No. 2

=====

Model Q:
Sm4YHo | PBE | optimized geometry

abc: 6.634 6.634 6.634
angles: 60.00 60.00 60.00
Sites, in units of the cell vectors:
Sm 0.625 0.625 0.625
Sm 0.625 0.125 0.625
Y 0.250 0.250 0.250
Sm 0.625 0.625 0.125
Sm 0.125 0.625 0.625
Ho 0.000 0.000 0.000

Summary:
**SG**: F-43m, No. 216

=====

Stability ranking, top and bottom: model P is the most stable and model Q is the least stable.